Record 1
A relaxed K2HfMoIr crystal. Source: Alexandria via LeMat-Bulk, functional PBE-GGA.

Cell: 6.019 4.681 6.019 Å, 90.00 90.00 90.00°
Each line ends with the local moment (μB).
Fractional positions:
Mo: 0.000 0.000 0.000  2.00
Ir: 0.000 0.500 0.000  0.13
Hf: 0.500 0.500 0.500  -1.03
K: 0.000 0.000 0.500  0.02
K: 0.500 0.000 0.000  0.02

Results
Calculated density = 5.33 g/cm³
M_tot = 0.82 Bohr magnetons per cell
Calculated total energy = -22.01 eV for the cell shown
Energy of formation = 190 kJ/mol of atoms


Record 2
A relaxed KHf2IrO8 crystal. Source: Alexandria via LeMat-Bulk, functional PBE-GGA.

Cell: 4.994 4.803 6.716 Å, 90.00 90.00 87.31°
Each line ends with the local moment (μB).
Fractional positions:
K: 0.000 0.000 0.500  0.00
Hf: 0.500 0.500 0.738  0.01
Hf: 0.500 0.500 0.262  0.01
Ir: 0.000 0.000 0.000  0.47
O: 0.189 0.778 0.193  0.09
O: 0.706 0.730 0.000  0.00
O: 0.811 0.222 0.193  0.09
O: 0.811 0.222 0.807  0.09
O: 0.294 0.270 0.000  0.00
O: 0.189 0.778 0.807  0.09
O: 0.639 0.699 0.500  0.03
O: 0.361 0.301 0.500  0.03

Results
E_form (uncorrected) = -1.987 eV per atom
Calculated density = 7.39 g/cm³
M_tot = 1.01 Bohr magnetons per cell
Calculated total energy = -93.38 eV for the cell shown


Record 3
A relaxed KHfIr2Rh crystal. Source: Alexandria via LeMat-Bulk, functional PBE-GGA.

Cell: 4.994 4.743 4.994 Å, 90.00 90.00 90.00°
Each line ends with the local moment (μB).
Fractional positions:
Rh: 0.000 0.000 0.000  0.33
K: 0.500 0.500 0.500  0.00
Ir: 0.000 0.000 0.500  0.78
Ir: 0.500 0.000 0.000  0.34
Hf: 0.000 0.500 0.000  -0.11

Results
Calculated density = 9.90 g/cm³
M_tot = 1.28 Bohr magnetons per cell
Calculated total energy = -31.14 eV for the cell shown
Energy of formation = 96 kJ/mol of atoms


Record 4
A relaxed K2HfIrRu crystal. Source: Alexandria via LeMat-Bulk, functional PBE-GGA.

Cell: 6.645 4.546 6.645 Å, 90.00 90.00 90.00°
Each line ends with the local moment (μB).
Fractional positions:
Ru: 0.000 0.500 0.000  0.02
K: 0.000 0.000 0.500  -0.01
K: 0.500 0.000 0.000  -0.01
Ir: 0.500 0.500 0.500  1.66
Hf: 0.000 0.000 0.000  -0.14

Results
Calculated density = 4.55 g/cm³
M_tot = 1.35 Bohr magnetons per cell
Calculated total energy = -20.82 eV for the cell shown
Energy of formation = 183 kJ/mol of atoms


Record 5
A relaxed KHfIr2S crystal. Source: Alexandria via LeMat-Bulk, functional PBE-GGA.

Cell: 4.510 4.998 4.510 Å, 90.00 90.00 90.00°
Fractional positions:
K: 0.000 0.500 0.000
Ir: 0.000 0.000 0.500
Ir: 0.500 0.000 0.000
Hf: 0.500 0.500 0.500
S: 0.000 0.000 0.000

Results
E_form (uncorrected) = 0.848 eV per atom
Calculated density = 10.36 g/cm³
M_tot = 0.00 Bohr magnetons per cell
Calculated total energy = -28.66 eV for the cell shown


Record 6
A relaxed KHfIr2S crystal. Source: Alexandria via LeMat-Bulk, functional PBE-GGA.

Cell: 4.592 5.346 4.592 Å, 90.00 90.00 90.00°
Each line ends with the local moment (μB).
Fractional positions:
K: 0.000 0.000 0.000  0.00
Ir: 0.000 0.000 0.500  0.32
Ir: 0.500 0.000 0.000  0.33
Hf: 0.000 0.500 0.000  -0.12
S: 0.500 0.500 0.500  0.17

Results
E_form (uncorrected) = 2.765 eV per atom
Calculated density = 9.34 g/cm³
M_tot = 0.73 Bohr magnetons per cell
Calculated total energy = -19.07 eV for the cell shown


Record 7
A relaxed KHf2SnIr crystal. Source: Alexandria via LeMat-Bulk, functional PBE-GGA.

Cell: 4.673 5.210 4.673 Å, 90.00 90.00 90.00°
Fractional positions:
K: 0.000 0.000 0.000
Ir: 0.500 0.500 0.500
Hf: 0.000 0.000 0.500
Hf: 0.500 0.000 0.000
Sn: 0.000 0.500 0.000

Results
Calculated density = 10.32 g/cm³
M_tot = 0.00 Bohr magnetons per cell
Calculated total energy = -22.17 eV for the cell shown
Energy of formation = 226 kJ/mol of atoms


Record 8
A relaxed KHfSnIr2 crystal. Source: Alexandria via LeMat-Bulk, functional PBE-GGA.

Cell: 4.797 4.753 4.797 Å, 90.00 90.00 90.00°
Fractional positions:
K: 0.000 0.000 0.000
Ir: 0.000 0.000 0.500
Ir: 0.500 0.000 0.000
Hf: 0.000 0.500 0.000
Sn: 0.500 0.500 0.500

Results
Calculated density = 10.94 g/cm³
M_tot = 0.00 Bohr magnetons per cell
Calculated total energy = -21.34 eV for the cell shown
Energy of formation = 221 kJ/mol of atoms


Record 9
A relaxed K2HfTcIr crystal. Source: Alexandria via LeMat-Bulk, functional PBE-GGA.

Cell: 5.346 4.789 5.346 Å, 90.00 90.00 90.00°
Fractional positions:
K: 0.000 0.000 0.500
K: 0.500 0.000 0.000
Ir: 0.000 0.500 0.000
Hf: 0.500 0.500 0.500
Tc: 0.000 0.000 0.000

Results
Calculated density = 6.63 g/cm³
M_tot = 0.00 Bohr magnetons per cell
Calculated total energy = -21.67 eV for the cell shown
Energy of formation = 187 kJ/mol of atoms


Record 10
A relaxed LaHf3Ir crystal. Source: Alexandria via LeMat-Bulk, functional PBE-GGA.

Cell: 5.112 5.112 5.112 Å, 90.00 90.00 90.00°
Fractional positions:
Ir: 0.000 0.000 0.000
Hf: 0.000 0.500 0.000
Hf: 0.000 0.000 0.500
Hf: 0.500 0.000 0.000
La: 0.500 0.500 0.500

Results
Calculated density = 10.77 g/cm³
M_tot = 0.00 Bohr magnetons per cell
Calculated total energy = -43.78 eV for the cell shown
Energy of formation = -2 kJ/mol of atoms


Record 11
A relaxed LaHfIr crystal. Source: Alexandria via LeMat-Bulk, functional PBE-GGA.

Cell: 4.656 4.656 6.826 Å, 90.00 90.00 90.00°
Fractional positions:
La: 0.000 0.500 0.875
La: 0.500 0.000 0.125
Hf: 0.500 0.500 0.500
Hf: 0.000 0.000 0.500
Ir: 0.000 0.500 0.301
Ir: 0.500 0.000 0.699

Results
Calculated density = 11.44 g/cm³
M_tot = 0.00 Bohr magnetons per cell
Calculated total energy = -51.79 eV for the cell shown
Energy of formation = -69 kJ/mol of atoms


Record 12
A relaxed La2Hf12Ir7 crystal. Source: Alexandria via LeMat-Bulk, functional PBE-GGA.

Cell: 4.457 10.865 10.865 Å, 120.00 90.00 90.00°
Fractional positions:
La: 0.500 0.000 0.000
La: 0.000 0.667 0.333
Hf: 0.500 0.891 0.608
Hf: 0.500 0.717 0.109
Hf: 0.500 0.392 0.283
Hf: 0.500 0.227 0.778
Hf: 0.500 0.551 0.773
Hf: 0.500 0.222 0.449
Hf: 0.000 0.056 0.537
Hf: 0.000 0.481 0.944
Hf: 0.000 0.463 0.519
Hf: 0.000 0.775 0.742
Hf: 0.000 0.967 0.225
Hf: 0.000 0.258 0.033
Ir: 0.000 0.333 0.667
Ir: 0.000 0.029 0.764
Ir: 0.000 0.735 0.971
Ir: 0.000 0.236 0.265
Ir: 0.500 0.628 0.576
Ir: 0.500 0.948 0.372
Ir: 0.500 0.424 0.052

Results
Calculated density = 13.72 g/cm³
M_tot = 0.00 Bohr magnetons per cell
Calculated total energy = -206.19 eV for the cell shown
Energy of formation = -68 kJ/mol of atoms